1.
A geometry-optimized TlAgTe3Pt structure. Source: the Open Quantum Materials Database, functional PBE-GGA.

Values from the calculation:
**Space-group type**: Cmcm
**VASP energy**: -3.639 eV/atom

Structure (POSCAR):
```
TlAgTe3Pt
1.0
1.997 -7.191 0.000
1.997 7.191 0.000
0.000 0.000 11.649
Tl Ag Te Pt
2 2 6 2
direct
0.217 0.783 0.750
0.783 0.217 0.250
0.124 0.876 0.250
0.876 0.124 0.750
0.124 0.876 0.012
0.124 0.876 0.488
0.474 0.526 0.250
0.526 0.474 0.750
0.876 0.124 0.512
0.876 0.124 0.988
0.500 0.500 0.000
0.500 0.500 0.500
```

---

2.
A geometry-optimized TaF structure. Source: the Open Quantum Materials Database, functional PBE-GGA.

Values from the calculation:
**Space-group type**: Fm-3m
**E above lowest polymorph**: 54.7 kJ per mole of atoms

Structure (POSCAR):
```
TaF
1.0
4.743 0.000 0.000
0.000 4.743 0.000
0.000 0.000 4.743
Ta F
4 4
direct
0.000 0.000 0.000
0.000 0.500 0.500
0.500 0.000 0.500
0.500 0.500 0.000
0.000 0.000 0.500
0.000 0.500 0.000
0.500 0.000 0.000
0.500 0.500 0.500
```

---

3.
A geometry-optimized BaNbGe structure. Source: the Open Quantum Materials Database, functional PBE-GGA.

Values from the calculation:
**Space-group type**: F-43m
**VASP energy**: -4.946 eV/atom

Structure (POSCAR):
```
BaNbGe
1.0
7.157 0.000 0.000
0.000 7.157 0.000
0.000 0.000 7.157
Ba Nb Ge
4 4 4
direct
0.000 0.000 0.000
0.000 0.500 0.500
0.500 0.000 0.500
0.500 0.500 0.000
0.000 0.000 0.500
0.000 0.500 0.000
0.500 0.000 0.000
0.500 0.500 0.500
0.250 0.250 0.250
0.250 0.750 0.750
0.750 0.250 0.750
0.750 0.750 0.250
```

---

4.
A geometry-optimized Mg2Tc structure. Source: the Open Quantum Materials Database, functional PBE-GGA.

Values from the calculation:
**Space-group type**: Pmmn
**E above lowest polymorph**: 3.8 kJ per mole of atoms

Structure (POSCAR):
```
Mg2Tc
1.0
4.775 0.000 0.000
0.000 8.326 0.000
0.000 0.000 5.268
Mg Tc
8 4
direct
0.250 0.074 0.122
0.250 0.250 0.595
0.250 0.426 0.122
0.250 0.750 0.080
0.750 0.250 0.920
0.750 0.574 0.878
0.750 0.750 0.405
0.750 0.926 0.878
0.250 0.602 0.585
0.250 0.898 0.585
0.750 0.102 0.415
0.750 0.398 0.415
```

---

5.
A geometry-optimized Ta4FeSbC2 structure. Source: the Open Quantum Materials Database, functional PBE-GGA.

Values from the calculation:
**Space-group type**: P-6m2
**VASP energy**: -9.992 eV/atom

Structure (POSCAR):
```
Ta4FeSbC2
1.0
3.171 0.000 0.000
-1.585 2.746 0.000
0.000 0.000 13.438
Ta Fe Sb C
4 1 1 2
direct
0.000 0.000 0.145
0.000 0.000 0.855
0.333 0.667 0.329
0.333 0.667 0.671
0.333 0.667 0.000
0.000 0.000 0.500
0.667 0.333 0.238
0.667 0.333 0.762
```

---

6.
A geometry-optimized PaSiBr structure. Source: the Open Quantum Materials Database, functional PBE-GGA.

Values from the calculation:
**Space-group type**: C2/m
**VASP energy**: -6.429 eV/atom

Structure (POSCAR):
```
PaSiBr
1.0
7.014 0.000 0.000
0.000 4.049 0.000
-2.359 0.000 11.290
Pa Si Br
4 4 4
direct
0.053 0.000 0.158
0.447 0.500 0.842
0.553 0.500 0.158
0.947 0.000 0.842
0.166 0.500 0.998
0.334 0.000 0.002
0.666 0.000 0.998
0.834 0.500 0.002
0.221 0.000 0.666
0.279 0.500 0.334
0.721 0.500 0.666
0.779 0.000 0.334
```

---

7.
A geometry-optimized LiGdCdSe3 structure. Source: the Open Quantum Materials Database, functional PBE-GGA.

Values from the calculation:
**Space-group type**: P2_1/m
**E above lowest polymorph**: 1.4 kJ per mole of atoms

Structure (POSCAR):
```
LiGdCdSe3
1.0
7.815 0.000 0.000
0.000 4.154 0.000
-2.581 0.000 10.336
Li Gd Cd Se
2 2 2 6
direct
0.178 0.250 0.116
0.822 0.750 0.884
0.328 0.750 0.853
0.672 0.250 0.147
0.066 0.250 0.610
0.934 0.750 0.390
0.061 0.250 0.859
0.259 0.750 0.565
0.415 0.750 0.134
0.585 0.250 0.866
0.741 0.250 0.435
0.939 0.750 0.141
```

---

8.
A geometry-optimized Er2Cd structure. Source: the Open Quantum Materials Database, functional PBE-GGA.

Values from the calculation:
**Space-group type**: Cmcm
**Energy relative to the elements**: -0.222 eV/atom

Structure (POSCAR):
```
Er2Cd
1.0
3.616 0.000 0.000
0.000 16.842 0.000
0.000 0.000 5.330
Er Cd
8 4
direct
0.000 0.089 0.250
0.000 0.226 0.750
0.000 0.774 0.250
0.000 0.911 0.750
0.500 0.274 0.250
0.500 0.411 0.750
0.500 0.589 0.250
0.500 0.726 0.750
0.000 0.431 0.250
0.000 0.569 0.750
0.500 0.069 0.750
0.500 0.931 0.250
```

---

9.
A geometry-optimized TaTlCoW structure. Source: the Open Quantum Materials Database, functional PBE-GGA.

Values from the calculation:
**Space-group type**: F-43m
**E above lowest polymorph**: 0.0 kJ per mole of atoms

Structure (POSCAR):
```
TaTlCoW
1.0
6.479 0.000 0.000
0.000 6.479 0.000
0.000 0.000 6.479
Ta Tl Co W
4 4 4 4
direct
0.000 0.000 0.000
0.000 0.500 0.500
0.500 0.000 0.500
0.500 0.500 0.000
0.000 0.000 0.500
0.000 0.500 0.000
0.500 0.000 0.000
0.500 0.500 0.500
0.250 0.250 0.750
0.250 0.750 0.250
0.750 0.250 0.250
0.750 0.750 0.750
0.250 0.250 0.250
0.250 0.750 0.750
0.750 0.250 0.750
0.750 0.750 0.250
```

---

10.
A geometry-optimized KPdAu3Se4 structure. Source: the Open Quantum Materials Database, functional PBE-GGA.

Values from the calculation:
**Space-group type**: P-43m
**VASP energy**: -3.407 eV/atom

Structure (POSCAR):
```
KPdAu3Se4
1.0
6.399 0.000 0.000
0.000 6.399 0.000
0.000 0.000 6.399
K Pd Au Se
1 1 3 4
direct
0.000 0.000 0.000
0.500 0.500 0.500
0.000 0.500 0.500
0.500 0.000 0.500
0.500 0.500 0.000
0.277 0.277 0.277
0.277 0.723 0.723
0.723 0.277 0.723
0.723 0.723 0.277
```

---

11.
A geometry-optimized DyTm3Te2C2 structure. Source: the Open Quantum Materials Database, functional PBE-GGA.

Values from the calculation:
**Space-group type**: P3m1
**VASP energy**: -6.230 eV/atom

Structure (POSCAR):
```
DyTm3Te2C2
1.0
3.789 0.000 0.000
-1.894 3.281 0.000
0.000 0.000 13.868
Dy Tm Te C
1 3 2 2
direct
0.000 0.000 0.000
0.000 0.000 0.684
0.667 0.333 0.187
0.667 0.333 0.500
0.000 0.000 0.344
0.667 0.333 0.840
0.333 0.667 0.095
0.333 0.667 0.592
```

---

12.
A geometry-optimized SrTlRe2 structure. Source: the Open Quantum Materials Database, functional PBE-GGA.

Values from the calculation:
**Space-group type**: Pmma
**VASP energy**: -5.917 eV/atom

Structure (POSCAR):
```
SrTlRe2
1.0
6.419 0.000 0.000
0.000 5.028 0.000
0.000 0.000 4.945
Sr Tl Re
2 2 4
direct
0.000 0.000 0.000
0.500 0.000 0.000
0.250 0.000 0.500
0.750 0.000 0.500
0.000 0.500 0.500
0.250 0.500 0.001
0.500 0.500 0.500
0.750 0.500 0.999
```